1.
Below is a relaxed PrAsPd crystal, with properties calculated at the GGA-PBEsol level.

Results
- Energy relative to the elements: -27.7 kcal/mol of atoms
- Space-group type: P6_3/mmc
- Spin magnetization: 0.00 μB/f.u.

a = 4.3260 Å, b = 4.3260 Å, c = 15.6633 Å
α = 90.00°, β = 90.00°, γ = 120.00°
Closest atoms and distances in Å follow each position.
Fractional positions:
1 As 0.6667 0.3333 0.1203  3 Pd 2.50
2 As 0.6667 0.3333 0.3797  3 Pd 2.50
3 As 0.3333 0.6667 0.6203  3 Pd 2.50
4 As 0.3333 0.6667 0.8797  3 Pd 2.50
5 Pd 0.6667 0.3333 0.8694  3 As 2.50
6 Pd 0.6667 0.3333 0.6306  3 As 2.50
7 Pd 0.3333 0.6667 0.3694  3 As 2.50
8 Pd 0.3333 0.6667 0.1306  3 As 2.50
9 Pr 0.0000 0.0000 0.0000  6 As 3.13, 6 Pd 3.23
10 Pr 0.0000 0.0000 0.7500  6 Pd 3.12, 6 As 3.22
11 Pr 0.0000 0.0000 0.5000  6 As 3.13, 6 Pd 3.23
12 Pr 0.0000 0.0000 0.2500  6 Pd 3.12, 6 As 3.22



2.
Below is a relaxed Li2ZnAu crystal, with properties calculated at the GGA-PBEsol level.

Results
- Energy relative to the elements: -8.6 kcal/mol of atoms
- Space-group type: P4/mmm
- Spin magnetization: 0.00 μB/f.u.

a = 3.7301 Å, b = 3.9086 Å, c = 3.9086 Å
α = 90.00°, β = 90.00°, γ = 90.00°
Closest atoms and distances in Å follow each position.
Fractional positions:
1 Zn 0.5000 0.5000 0.5000  8 Li 2.70, 4 Au 2.76
2 Li 0.0000 0.5000 0.0000  4 Au 2.70, 4 Zn 2.70, 4 Li 2.76
3 Li 0.0000 0.0000 0.5000  4 Zn 2.70, 4 Au 2.70, 4 Li 2.76
4 Au 0.5000 0.0000 0.0000  8 Li 2.70, 4 Zn 2.76



3.
Below is a relaxed Li2MnFeB2O6 crystal, with properties calculated at the GGA-PBEsol level.

Results
- E_form (uncorrected): -44.06 kcal/mol of atoms
- Space-group type: Cc
- Relative energy among the computed polymorphs: 0.060 eV per formula unit
- Spin magnetization: 9.00 μB/f.u.

a = 5.1743 Å, b = 5.1743 Å, c = 9.9700 Å
α = 90.08°, β = 90.08°, γ = 119.89°
Closest atoms and distances in Å follow each position.
Fractional positions:
1 Li 0.3347 0.3460 0.9108  4 O 1.91-2.07
2 Li 0.6719 0.6580 0.6645  4 O 1.91-2.01
3 Li 0.3460 0.3347 0.4108  4 O 1.91-2.07
4 Li 0.6580 0.6719 0.1645  4 O 1.91-2.01
5 O 0.2499 0.9362 0.9163  1 B 1.39
6 O 0.0318 0.4241 0.8469  1 B 1.40
7 O 0.7396 0.0647 0.1035  1 B 1.39
8 O 0.9362 0.2499 0.4163  1 B 1.39
9 O 0.4241 0.0318 0.3469  1 B 1.40
10 O 0.5866 0.9861 0.6596  1 B 1.38
11 O 0.9861 0.5866 0.1596  1 B 1.38
12 O 0.6505 0.7267 0.3635  1 B 1.38
13 O 0.3489 0.2747 0.6163  1 B 1.39
14 O 0.7267 0.6505 0.8635  1 B 1.38
15 O 0.2747 0.3489 0.1163  1 B 1.39
16 O 0.0647 0.7396 0.6035  1 B 1.39
17 B 0.3331 0.9994 0.6276  3 O 1.38-1.39
18 B 0.6716 0.0017 0.3762  3 O 1.38-1.40
19 B 0.0017 0.6716 0.8762  3 O 1.38-1.40
20 B 0.9994 0.3331 0.1276  3 O 1.38-1.39
21 Mn 0.0105 0.6721 0.3836  5 O 2.03-2.27
22 Mn 0.6721 0.0105 0.8836  5 O 2.03-2.27
23 Fe 0.3207 0.0024 0.1331  3 O 1.93-2.05
24 Fe 0.0024 0.3207 0.6331  3 O 1.93-2.05



4.
Below is a relaxed CaZnHg2 crystal, with properties calculated at the GGA-PBEsol level.

Results
- Energy relative to the elements: -7.0 kcal/mol of atoms
- Space-group type: P4/mmm
- Spin magnetization: 0.00 μB/f.u.

a = 4.3091 Å, b = 4.5278 Å, c = 4.5278 Å
α = 90.00°, β = 90.00°, γ = 90.00°
Closest atoms and distances in Å follow each position.
Fractional positions:
1 Zn 0.5000 0.5000 0.5000  8 Hg 3.13, 4 Ca 3.20
2 Ca 0.5000 0.0000 0.0000  8 Hg 3.13, 4 Zn 3.20
3 Hg 0.0000 0.5000 0.0000  4 Zn 3.13, 4 Ca 3.13, 4 Hg 3.20
4 Hg 0.0000 0.0000 0.5000  4 Ca 3.13, 4 Zn 3.13, 4 Hg 3.20



5.
Below is a relaxed La2Se2Br crystal, with properties calculated at the GGA-PBEsol level.

Results
- E_form (uncorrected): -46.09 kcal/mol of atoms
- Space-group type: P4/mbm
- Spin magnetization: 0.00 μB/f.u.

a = 3.9153 Å, b = 8.1735 Å, c = 8.1735 Å
α = 90.00°, β = 90.00°, γ = 90.00°
Closest atoms and distances in Å follow each position.
Fractional positions:
1 La 0.0000 0.3433 0.8433  6 Se 3.05-3.13, 2 Br 3.08
2 La 0.0000 0.1567 0.3433  6 Se 3.05-3.13, 2 Br 3.08
3 La 0.0000 0.8433 0.6567  6 Se 3.05-3.13, 2 Br 3.08
4 La 0.0000 0.6567 0.1567  6 Se 3.05-3.13, 2 Br 3.08
5 Br 0.0000 0.5000 0.5000  4 La 3.08
6 Br 0.0000 0.0000 0.0000  4 La 3.08
7 Se 0.5000 0.6412 0.8588  6 La 3.05-3.13, 1 Se 3.26
8 Se 0.5000 0.3588 0.1412  6 La 3.05-3.13, 1 Se 3.26
9 Se 0.5000 0.1412 0.6412  6 La 3.05-3.13, 1 Se 3.26
10 Se 0.5000 0.8588 0.3588  6 La 3.05-3.13, 1 Se 3.26



6.
Below is a relaxed MgAlAsBr2 crystal, with properties calculated at the GGA-PBEsol level.

Results
- E_form (uncorrected): -1.33 kcal/mol of atoms
- Space-group type: P4/mmm
- Spin magnetization: 0.00 μB/f.u.

a = 5.2648 Å, b = 5.0414 Å, c = 5.0414 Å
α = 90.00°, β = 90.00°, γ = 90.00°
Closest atoms and distances in Å follow each position.
Fractional positions:
1 Br 0.0000 0.0000 0.5000  2 Mg 2.52
2 Br 0.0000 0.5000 0.0000  2 Mg 2.52
3 Mg 0.0000 0.0000 0.0000  4 Br 2.52, 2 As 2.63
4 Al 0.5000 0.5000 0.5000  4 As 3.56, 8 Br 3.64
5 As 0.5000 0.0000 0.0000  2 Mg 2.63



7.
Below is a relaxed InTc3C crystal, with properties calculated at the GGA-PBEsol level.

Results
- Energy relative to the elements: 3.1 kcal/mol of atoms
- Space-group type: Pm-3m
- Spin magnetization: 0.17 μB/f.u.

a = 4.0865 Å, b = 4.0865 Å, c = 4.0865 Å
α = 90.00°, β = 90.00°, γ = 90.00°
Closest atoms and distances in Å follow each position.
Fractional positions:
1 Tc 0.0000 0.5000 0.0000  2 C 2.04
2 Tc 0.0000 0.0000 0.5000  2 C 2.04
3 Tc 0.5000 0.0000 0.0000  2 C 2.04
4 C 0.0000 0.0000 0.0000  6 Tc 2.04
5 In 0.5000 0.5000 0.5000  12 Tc 2.89



8.
Below is a relaxed TeIr2Rh crystal, with properties calculated at the GGA-PBEsol level.

Results
- E_form (uncorrected): 7.28 kcal/mol of atoms
- Space-group type: Pmm2
- Spin magnetization: 0.00 μB/f.u.

a = 2.9025 Å, b = 3.8139 Å, c = 5.7131 Å
α = 90.00°, β = 90.00°, γ = 90.00°
Closest atoms and distances in Å follow each position.
Fractional positions:
1 Rh 0.0000 0.0000 0.4918  5 Ir 2.63-2.78, 4 Te 2.77, 2 Rh 2.90
2 Ir 0.0000 0.0000 0.0309  1 Rh 2.63, 6 Ir 2.69-2.90, 4 Te 2.94
3 Ir 0.5000 0.5000 0.2435  6 Ir 2.69-2.90, 4 Rh 2.78, 2 Te 2.80-2.91
4 Te 0.5000 0.5000 0.7337  4 Rh 2.77, 6 Ir 2.80-2.94, 2 Te 2.90